(1)
Compound: PrHPt
Source: Alexandria via LeMat-Bulk
Functional: PBE
Structure: optimized geometry

abc: 3.674 6.217 4.685
angles: 90.00 90.00 90.00
Sites, in units of the cell vectors:
Pr: 0.000 0.245 0.000
Pr: 0.000 0.755 0.500
H: 0.500 0.084 0.502
H: 0.500 0.916 0.002
Pt: 0.500 0.357 0.500
Pt: 0.500 0.643 0.000

Energy relative to the lowest polymorph listed for this composition in meV/atom: 130

=====

(2)
Compound: Pm6SmEr5
Source: Alexandria via LeMat-Bulk
Functional: PBE
Structure: optimized geometry

abc: 9.488 9.488 9.488
angles: 148.88 115.80 73.06
Sites, in units of the cell vectors:
Pm: 0.082 0.333 0.749
Pm: 0.248 0.000 0.248
Pm: 0.416 0.667 0.749
Pm: 0.584 0.333 0.251
Pm: 0.752 0.000 0.752
Pm: 0.918 0.667 0.251
Sm: 0.500 0.500 0.000
Er: 0.000 0.500 0.500
Er: 0.167 0.167 0.000
Er: 0.333 0.833 0.500
Er: 0.667 0.167 0.500
Er: 0.833 0.833 0.000

Energy of formation from the pure elements in eV per atom: 0.017

=====

(3)
Compound: TbPm2DyTe5
Source: Alexandria via LeMat-Bulk
Functional: PBE
Structure: optimized geometry

abc: 5.560 5.560 11.583
angles: 90.00 90.00 90.00
Sites, in units of the cell vectors:
Tb: 0.000 0.000 0.000
Pm: 0.500 0.500 0.158
Pm: 0.500 0.500 0.842
Dy: 0.000 0.000 0.500
Te: 0.000 0.000 0.255
Te: 0.000 0.000 0.745
Te: 0.000 0.500 0.000
Te: 0.500 0.000 0.000
Te: 0.500 0.500 0.500

E_form (uncorrected) in eV/atom: -0.76

=====

(4)
Compound: Ti4HgBi
Source: Alexandria via LeMat-Bulk
Functional: PBE
Structure: optimized geometry

abc: 5.296 5.296 7.087
angles: 109.57 109.57 37.42
Sites, in units of the cell vectors:
Ti: 0.172 0.172 0.342
Ti: 0.174 0.174 0.830
Ti: 0.826 0.826 0.170
Ti: 0.828 0.828 0.658
Hg: 0.500 0.500 0.500
Bi: 0.500 0.500 0.000

Energy of formation from the pure elements in eV per atom: -0.085
Energy relative to the lowest polymorph listed for this composition in meV/atom: 0

=====

(5)
Compound: BaLaAu2
Source: Alexandria via LeMat-Bulk
Functional: PBE
Structure: optimized geometry

abc: 8.017 8.017 8.017
angles: 32.96 32.96 32.96
Sites, in units of the cell vectors:
Ba: 0.000 0.000 0.000
La: 0.500 0.500 0.500
Au: 0.240 0.240 0.240
Au: 0.760 0.760 0.760

Energy of formation from the pure elements in eV per atom: -0.694

=====

(6)
Compound: LaZrAs2
Source: Alexandria via LeMat-Bulk
Functional: PBE
Structure: optimized geometry

abc: 3.656 4.691 5.351
angles: 90.00 90.00 90.00
Sites, in units of the cell vectors:
La: 0.000 0.000 0.000
Zr: 0.000 0.500 0.500
As: 0.500 0.000 0.500
As: 0.500 0.500 0.000

Energy of formation from the pure elements in eV per atom: -0.835
Energy relative to the lowest polymorph listed for this composition in meV/atom: 505

=====

(7)
Compound: GaPH2F
Source: Alexandria via LeMat-Bulk
Functional: PBE
Structure: optimized geometry

abc: 3.461 3.461 4.939
angles: 90.00 90.00 90.00
Sites, in units of the cell vectors:
Ga: 0.000 0.000 0.000
P: 0.500 0.500 0.500
H: 0.000 0.500 0.000
H: 0.500 0.000 0.000
F: 0.000 0.000 0.500

Calculated total energy in eV/atom: -3.17

=====

(8)
Compound: HoGaBi2
Source: Alexandria via LeMat-Bulk
Functional: PBE
Structure: optimized geometry

abc: 8.641 8.641 8.641
angles: 33.18 33.18 33.18
Sites, in units of the cell vectors:
Ho: 0.000 0.000 0.000
Ga: 0.500 0.500 0.500
Bi: 0.392 0.392 0.392
Bi: 0.608 0.608 0.608

Energy of formation from the pure elements in eV per atom: 0.038
Energy relative to the lowest polymorph listed for this composition in meV/atom: 389

=====

(9)
Compound: AsWCl2
Source: Alexandria via LeMat-Bulk
Functional: PBE
Structure: optimized geometry

abc: 3.015 3.015 9.026
angles: 90.00 90.00 90.00
Sites, in units of the cell vectors:
As: 0.000 0.000 0.000
W: 0.500 0.500 0.820
Cl: 0.000 0.000 0.644
Cl: 0.500 0.500 0.300

Energy relative to the lowest polymorph listed for this composition in meV/atom: 445
E_form (uncorrected) in eV/atom: 0.19

=====

(10)
Compound: CaSiI
Source: Alexandria via LeMat-Bulk
Functional: PBE
Structure: optimized geometry

abc: 12.828 12.828 12.828
angles: 18.56 18.56 18.56
Sites, in units of the cell vectors:
Ca: 0.061 0.061 0.061
Ca: 0.939 0.939 0.939
Si: 0.342 0.342 0.342
Si: 0.658 0.658 0.658
I: 0.222 0.222 0.222
I: 0.778 0.778 0.778

E_form (uncorrected) in eV/atom: -0.91

=====

(11)
Compound: MgAlBr
Source: Alexandria via LeMat-Bulk
Functional: PBE
Structure: optimized geometry

abc: 5.207 5.207 5.207
angles: 60.00 60.00 60.00
Sites, in units of the cell vectors:
Mg: 0.000 0.000 0.000
Al: 0.500 0.500 0.500
Br: 0.250 0.250 0.250

Energy relative to the lowest polymorph listed for this composition in meV/atom: 619
E_form (uncorrected) in eV/atom: 0.36

=====

(12)
Compound: MgSc2TaH
Source: Alexandria via LeMat-Bulk
Functional: PBE
Structure: optimized geometry

abc: 4.487 4.487 4.245
angles: 90.00 90.00 90.00
Sites, in units of the cell vectors:
Mg: 0.000 0.000 0.000
Sc: 0.000 0.500 0.500
Sc: 0.500 0.000 0.500
Ta: 0.500 0.500 0.000
H: 0.500 0.500 0.500

Calculated total energy in eV/atom: -5.89

=====

What M_tot values result from the calculations? In sequence: 0.0000, 0.0000, 0.0651, 0.0000, 0.0000, 0.0000, 0.0000, 0.0000, 0.0965, 0.0000, 0.0000, 0.0000 μB/atom.